A plane-wave DFT calculation with GGA-PBE was carried out for crystalline TiVZnMo at its relaxed geometry.

Cell lengths 4.392, 4.392, 4.392 Å; angles 60.00, 60.00, 60.00 degrees
Last column: magnetic moment on the atom in μB.
Fractional positions:
1 Mo 0.750 0.750 0.750  -0.17
2 V 0.000 0.000 0.000  0.85
3 Zn 0.250 0.250 0.250  0.01
4 Ti 0.500 0.500 0.500  -0.06

Output
SG = F-43m (216)

---

A plane-wave DFT calculation with GGA-PBE was carried out for crystalline ZrTiVMo at its relaxed geometry.

Cell lengths 4.615, 4.615, 4.615 Å; angles 60.00, 60.00, 60.00 degrees
Last column: magnetic moment on the atom in μB.
Fractional positions:
1 V 0.250 0.250 0.250  1.82
2 Ti 0.500 0.500 0.500  0.38
3 Zr 0.000 0.000 0.000  0.12
4 Mo 0.750 0.750 0.750  -0.09

Output
SG = F-43m (216)

---

A plane-wave DFT calculation with GGA-PBE was carried out for crystalline Ti2MoW at its relaxed geometry.

Cell lengths 3.161, 3.161, 6.362 Å; angles 90.00, 90.00, 90.00 degrees
Fractional positions:
1 Ti 0.000 0.000 0.752
2 Ti 0.000 0.000 0.248
3 Mo 0.500 0.500 0.000
4 W 0.500 0.500 0.500

Output
SG = P4/mmm (123)

---

A plane-wave DFT calculation with GGA-PBE was carried out for crystalline Ti2MoW2 at its relaxed geometry.

Cell lengths 3.043, 5.754, 5.754 Å; angles 69.49, 74.66, 74.66 degrees
Fractional positions:
1 W 0.500 0.685 0.315
2 W 0.500 0.315 0.685
3 Mo 0.000 0.000 0.000
4 Ti 0.757 0.743 0.743
5 Ti 0.243 0.257 0.257

Output
SG = Immm (71)

---

A plane-wave DFT calculation with GGA-PBE was carried out for crystalline TiMoW3 at its relaxed geometry.

Cell lengths 4.708, 4.708, 4.708 Å; angles 90.00, 90.00, 90.00 degrees
Fractional positions:
1 Mo 0.000 0.000 0.000
2 W 0.000 0.500 0.000
3 W 0.000 0.000 0.500
4 Ti 0.500 0.500 0.500
5 W 0.500 0.000 0.000

Output
SG = Pm-3m (221)

---

A plane-wave DFT calculation with GGA-PBE was carried out for crystalline TiMoW at its relaxed geometry.

Cell lengths 3.168, 4.424, 7.197 Å; angles 107.84, 90.00, 90.00 degrees
Fractional positions:
1 Mo 0.023 0.006 0.359
2 Mo 0.523 0.170 0.688
3 W 0.523 0.843 0.033
4 Ti 0.523 0.501 0.349
5 Ti 0.023 0.675 0.698
6 W 0.023 0.333 0.013

Output
SG = P2_1/m (11)

---

no.,formation energy (eV/atom)
1,-0.061
2,0.074
3,0.017
4,0.454
5,1.910
6,-0.116